(1)
The following is a PBE with a Hubbard U calculation of an optimized crystal structure of NaThVO4, from Alexandria via LeMat-Bulk.

Properties
ρ: 5719 kg/m³
volume: 15.35 A^3/atom
total DFT energy (no corrections): -7.749 eV/atom

Cell lengths 6.404, 7.378, 9.094 Å; angles 90.00, 90.00, 90.00 degrees
Space group Imma (No. 74)
Asymmetric unit:
Na1 0.000 0.250 0.125 [4 per cell]
Th1 0.000 0.000 0.500 [4 per cell]
V1 0.250 0.250 0.750 [4 per cell]
O1 0.000 0.060 0.747 [8 per cell]
O2 0.221 0.250 0.522 [8 per cell]

(2)
The following is a PBE with a Hubbard U calculation of an optimized crystal structure of NaThV2O8, from Alexandria via LeMat-Bulk.

Properties
ρ: 3784 kg/m³
volume: 17.73 A^3/atom
total DFT energy (no corrections): -7.460 eV/atom

Cell lengths 5.9213, 5.9213, 7.0072 Å; angles 90.00, 90.00, 120.00 degrees
Space group P-3m1 (No. 164)
Asymmetric unit:
Na1 0.0000 0.0000 0.0000 [1 per cell]
Th1 0.0000 0.0000 0.5000 [1 per cell]
V1 0.3333 0.6667 0.2052 [2 per cell]
O1 0.1702 0.3403 0.2862 [6 per cell]
O2 0.3333 0.6667 0.9662 [2 per cell]

(3)
The following is a PBE with a Hubbard U calculation of an optimized crystal structure of NaThWO6, from Alexandria via LeMat-Bulk.

Properties
ρ: 6507 kg/m³
volume: 15.17 A^3/atom
total DFT energy (no corrections): -7.431 eV/atom

Cell lengths 5.168, 5.168, 10.220 Å; angles 90.00, 90.00, 90.00 degrees
Space group P4_2nm (No. 102)
Asymmetric unit:
Na1 0.000 0.000 0.000 [2 per cell]
Th1 0.000 0.000 0.664 [2 per cell]
W1 0.000 0.000 0.332 [2 per cell]
O1 0.177 0.177 0.472 [4 per cell]
O2 0.189 0.189 0.194 [4 per cell]
O3 0.234 0.234 0.817 [4 per cell]

Spin magnetization values (in μB/cell) by entry order: 8.000, 1.086, 2.073.